{"formula": "TlZnGa2Ag", "functional": "PBE", "state": "optimized geometry", "lattice_angstrom": [[-0.5433, -2.3924, -4.8549], [1.2588, -4.5165, 2.0847], [-5.2453, -0.9703, 1.0652]], "species": ["Zn", "Tl", "Ga", "Ga", "Ag"], "fractional_positions": [[0.0000, 0.5000, 0.0000], [0.0000, 0.0000, 0.0000], [0.0000, 0.0000, 0.5000], [0.5000, 0.0000, 0.0000], [0.5000, 0.5000, 0.5000]], "total_energy_ev_per_atom": -1.81, "ef_ev_per_fu": 3.508, "sg": "No. 123", "crystal_system": "tetragonal"}

=====

{"formula": "YHgTe2I", "functional": "PBE", "state": "optimized geometry", "lattice_angstrom": [[5.9566, 0.0000, 0.0000], [0.0000, 5.9566, 0.0000], [0.0000, 0.0000, 6.0160]], "species": ["I", "Y", "Te", "Te", "Hg"], "fractional_positions": [[0.0000, 0.0000, 0.5000], [0.0000, 0.0000, 0.0000], [0.0000, 0.5000, 0.0000], [0.5000, 0.0000, 0.0000], [0.5000, 0.5000, 0.5000]], "total_energy_ev_per_atom": -3.34, "raw_formation_energy_ev_per_atom": -0.42, "sg": "No. 123", "crystal_system": "tetragonal", "polymorph_energy_ev_per_atom": 0.000}

=====

{"formula": "Hg2SbPt", "functional": "PBE", "state": "optimized geometry", "lattice_angstrom": [[-1.0517, 2.2289, -2.8526], [1.9112, -3.8820, -3.7379], [-3.2391, -4.6047, -2.4037]], "species": ["Hg", "Hg", "Pt", "Sb"], "fractional_positions": [[0.0000, 0.9796, 0.0068], [0.5000, 0.3361, 0.2894], [0.0000, 0.5017, 0.5243], [0.5000, 0.6827, 0.6795]], "total_energy_ev_per_atom": -2.75, "raw_formation_energy_ev_per_atom": -0.06, "sg": "No. 6", "crystal_system": "monoclinic"}

=====

Number 1: volume 30.4 Å³ per atom, mass density 5.7 g/cm3. Number 2: volume 42.7 Å³ per atom, mass density 5.2 g/cm3. Number 3: volume 26.6 Å³ per atom, mass density 11.2 g/cm3.